[1]
A geometry-optimized SmEr2Cd4 structure, computed with GGA-PBE.

Geometry as CIF:
```
data_SmEr2Cd4
_chemical_formula_sum 'Sm2 Er4 Cd8'
_cell_length_a 5.333
_cell_length_b 5.333
_cell_length_c 13.849
_cell_angle_alpha 90.00
_cell_angle_beta 90.00
_cell_angle_gamma 90.00
_space_group_name_H-M_alt 'I 4/m m m'
_space_group_IT_number 139
_space_group_name_Hall '-I 4 2'
loop_
_atom_site_label
_atom_site_fract_x
_atom_site_fract_y
_atom_site_fract_z
Sm1 0.000 0.000 0.000
Er1 0.000 0.000 0.259
Cd1 0.000 0.500 0.119
```

Results
Formation energy ... -0.15 eV per atom
Calculated volume ... 28.13 Å³ per atom

***

[2]
A geometry-optimized Sm3ErCd2 structure, computed with GGA-PBE.

Geometry as CIF:
```
data_Sm3ErCd2
_chemical_formula_sum 'Sm3 Er1 Cd2'
_cell_length_a 3.726
_cell_length_b 3.726
_cell_length_c 12.690
_cell_angle_alpha 90.00
_cell_angle_beta 90.00
_cell_angle_gamma 90.00
_space_group_name_H-M_alt 'P 4/m m m'
_space_group_IT_number 123
_space_group_name_Hall '-P 4 2'
loop_
_atom_site_label
_atom_site_fract_x
_atom_site_fract_y
_atom_site_fract_z
Sm1 0.000 0.000 0.000
Sm2 0.000 0.000 0.311
Er1 0.500 0.500 0.500
Cd1 0.500 0.500 0.156
```

Results
Formation energy ... -0.19 eV per atom
Calculated volume ... 29.37 Å³ per atom